[1]
DFT (PBE) results for a relaxed structure of Be2HgSb.

The structure belongs to space group F-43m (No. 216); the cell edges are 6.712, 6.712 and 6.712 Å and the angles 90.00°, 90.00° and 90.00°. Symmetry generates all atoms from Be at (0.000, 0.000, 0.000), Be at (0.250, 0.250, 0.250), Hg at (0.250, 0.250, 0.750) and Sb at (0.000, 0.000, 0.500).

For the total energy, the calculation gives -2.0566 eV per atom.


[2]
DFT (PBE) results for a relaxed structure of ScBeHg.

The structure belongs to space group F-43m (No. 216); the cell edges are 6.389, 6.389 and 6.389 Å and the angles 90.00°, 90.00° and 90.00°. Symmetry generates all atoms from Sc at (0.000, 0.000, 0.000), Be at (0.250, 0.250, 0.750) and Hg at (0.250, 0.250, 0.250).

The energy relative to the lowest polymorph listed for this composition comes out at 0.5156 eV per atom.


[3]
DFT (PBE) results for a relaxed structure of ScBe2Hg.

The structure belongs to space group F-43m (No. 216); the cell edges are 6.280, 6.280 and 6.280 Å and the angles 90.00°, 90.00° and 90.00°. Symmetry generates all atoms from Sc at (0.000, 0.000, 0.000), Be at (0.000, 0.000, 0.500), Be at (0.250, 0.250, 0.750) and Hg at (0.250, 0.250, 0.250).

For the total energy, the calculation gives -3.3830 eV per atom.


[4]
DFT (PBE) results for a relaxed structure of ScBeHg.

The structure belongs to space group F-43m (No. 216); the cell edges are 6.052, 6.052 and 6.052 Å and the angles 90.00°, 90.00° and 90.00°. Symmetry generates all atoms from Sc at (0.000, 0.000, 0.000), Be at (0.250, 0.250, 0.750) and Hg at (0.000, 0.000, 0.500).

The energy relative to the lowest polymorph listed for this composition comes out at 0.0000 eV per atom.


[5]
DFT (PBE) results for a relaxed structure of BeHgSe2.

The structure belongs to space group P-4m2 (No. 115); the cell edges are 3.941, 3.941 and 5.987 Å and the angles 90.00°, 90.00° and 90.00°. Symmetry generates all atoms from Be at (0.000, 0.000, 0.000), Hg at (0.500, 0.500, 0.500) and Se at (0.000, 0.500, 0.196).

For the total energy, the calculation gives -3.1771 eV per atom.


[6]
DFT (PBE) results for a relaxed structure of BeSiHg2.

The structure belongs to space group F-43m (No. 216); the cell edges are 6.746, 6.746 and 6.746 Å and the angles 90.00°, 90.00° and 90.00°. Symmetry generates all atoms from Be at (0.000, 0.000, 0.000), Si at (0.250, 0.250, 0.750), Hg at (0.000, 0.000, 0.500) and Hg at (0.250, 0.250, 0.250).

For the total energy, the calculation gives -1.6661 eV per atom.


[7]
DFT (PBE) results for a relaxed structure of Be2SiHg.

The structure belongs to space group F-43m (No. 216); the cell edges are 6.222, 6.222 and 6.222 Å and the angles 90.00°, 90.00° and 90.00°. Symmetry generates all atoms from Be at (0.000, 0.000, 0.000), Be at (0.250, 0.250, 0.250), Si at (0.000, 0.000, 0.500) and Hg at (0.250, 0.250, 0.750).

For the total energy, the calculation gives -2.4265 eV per atom.


[8]
DFT (PBE) results for a relaxed structure of SmBeHg.

The structure belongs to space group F-43m (No. 216); the cell edges are 6.685, 6.685 and 6.685 Å and the angles 90.00°, 90.00° and 90.00°. Symmetry generates all atoms from Sm at (0.000, 0.000, 0.000), Be at (0.000, 0.000, 0.500) and Hg at (0.250, 0.250, 0.750).

The energy relative to the lowest polymorph listed for this composition comes out at 0.0000 eV per atom.


[9]
DFT (PBE) results for a relaxed structure of SmBeHg.

The structure belongs to space group F-43m (No. 216); the cell edges are 6.859, 6.859 and 6.859 Å and the angles 90.00°, 90.00° and 90.00°. Symmetry generates all atoms from Sm at (0.000, 0.000, 0.000), Be at (0.250, 0.250, 0.750) and Hg at (0.250, 0.250, 0.250).

The energy relative to the lowest polymorph listed for this composition comes out at 0.2851 eV per atom.


[10]
DFT (PBE) results for a relaxed structure of BeSn2Hg.

The structure belongs to space group F-43m (No. 216); the cell edges are 7.178, 7.178 and 7.178 Å and the angles 90.00°, 90.00° and 90.00°. Symmetry generates all atoms from Be at (0.000, 0.000, 0.000), Sn at (0.000, 0.000, 0.500), Sn at (0.250, 0.250, 0.750) and Hg at (0.250, 0.250, 0.250).

For the total energy, the calculation gives -2.4887 eV per atom.


[11]
DFT (PBE) results for a relaxed structure of Be2SnHg.

The structure belongs to space group F-43m (No. 216); the cell edges are 6.660, 6.660 and 6.660 Å and the angles 90.00°, 90.00° and 90.00°. Symmetry generates all atoms from Be at (0.000, 0.000, 0.000), Be at (0.250, 0.250, 0.250), Sn at (0.000, 0.000, 0.500) and Hg at (0.250, 0.250, 0.750).

For the total energy, the calculation gives -2.0934 eV per atom.


[12]
DFT (PBE) results for a relaxed structure of BeSnHg2.

The structure belongs to space group F-43m (No. 216); the cell edges are 7.088, 7.088 and 7.088 Å and the angles 90.00°, 90.00° and 90.00°. Symmetry generates all atoms from Be at (0.000, 0.000, 0.000), Sn at (0.250, 0.250, 0.750), Hg at (0.000, 0.000, 0.500) and Hg at (0.250, 0.250, 0.250).

For the total energy, the calculation gives -1.5399 eV per atom.